Crystalline BeMoW2 at its relaxed geometry. Source: Alexandria via LeMat-Bulk, functional PBE.

## Properties
ΔE_f: 25.4 kJ/mol of atoms
Energy: -9.85 eV/atom
SG: P4/mmm, No. 123

extended XYZ file:
```
4
Lattice="2.679 0.000 0.000 0.000 2.679 0.000 0.000 0.000 8.049" Properties=species:S:1:pos:R:3 pbc="T T T"
Be 0.000 0.000 0.000
Mo 0.000 0.000 4.025
W 1.339 1.339 1.713
W 1.339 1.339 6.337
```